Compound: CaErCd2Au4
Source: the Alexandria database
Functional: PBE
Structure: optimized geometry

Its calculated total energy is -79.42 eV per cell. The value obtained for the calculated formation energy is -0.621 eV/atom.

Unit cell a=4.9396 b=4.9396 c=24.2054 alpha=90.00 beta=90.00 gamma=120.00
Closest atoms and distances in Å follow each position.
Space group R-3m (No. 166, hexagonal axes)
Symmetry-distinct sites (fractional):
Ca: 0.0000 0.0000 0.0000 x3  8 Au 3.05-3.09
Er: 0.0000 0.0000 0.5000 x3  8 Au 2.96-3.00
Cd: 0.0000 0.0000 0.2515 x6  8 Au 2.99-3.06
Au: 0.0000 0.0000 0.1276 x6  4 Cd 3.00-3.06, 3 Er 3.00, 1 Ca 3.09
Au: 0.0000 0.0000 0.3779 x6  1 Er 2.96, 4 Cd 2.99-3.06, 3 Ca 3.05


Compound: CaEuCdAu
Source: the Alexandria database
Functional: PBE
Structure: optimized geometry

Its calculated total energy is -74.48 eV per cell. The value obtained for the calculated formation energy is -0.538 eV/atom.

Unit cell a=7.5625 b=7.5625 c=7.5625 alpha=90.00 beta=90.00 gamma=90.00
Closest atoms and distances in Å follow each position.
Space group F-43m (No. 216)
Symmetry-distinct sites (fractional):
Ca: 0.0000 0.0000 0.0000 x4  4 Cd 3.27, 4 Au 3.27
Eu: 0.0000 0.0000 0.5000 x4  4 Cd 3.27, 4 Au 3.27
Cd: 0.2500 0.2500 0.7500 x4  4 Ca 3.27, 4 Eu 3.27
Au: 0.2500 0.2500 0.2500 x4  4 Ca 3.27, 4 Eu 3.27


Compound: CaCdGaAu6
Source: the Alexandria database
Functional: PBE
Structure: optimized geometry

Its calculated total energy is -111.51 eV per cell. The value obtained for the calculated formation energy is -0.252 eV/atom.

Unit cell a=7.2999 b=9.6172 c=10.8465 alpha=90.00 beta=90.00 gamma=90.00
Closest atoms and distances in Å follow each position.
Space group Imma (No. 74)
Symmetry-distinct sites (fractional):
Ca: 0.0000 0.2500 0.2179 x4  10 Au 3.01-3.28, 2 Ga 3.37
Cd: 0.2500 0.2500 0.7500 x4  6 Au 2.76-2.97
Ga: 0.0000 0.0000 0.0000 x4  6 Au 2.49-2.64
Au: 0.0000 0.2500 0.5205 x4  8 Au 3.06-3.21, 2 Cd 3.09, 1 Ca 3.28
Au: 0.0000 0.2500 0.9403 x4  2 Ga 2.49, 2 Cd 2.76
Au: 0.1945 0.0232 0.3718 x16  1 Ga 2.64, 3 Au 2.76-2.84


Compound: CaCdGa2Au5
Source: the Alexandria database
Functional: PBE
Structure: optimized geometry

Its calculated total energy is -28.00 eV per cell. The value obtained for the calculated formation energy is -0.294 eV/atom.

Unit cell a=4.8945 b=4.8945 c=7.8005 alpha=90.00 beta=90.00 gamma=90.00
Closest atoms and distances in Å follow each position.
Space group P4/mmm (No. 123)
Symmetry-distinct sites (fractional):
Ca: 0.0000 0.0000 0.0000 x1  8 Au 3.06
Cd: 0.0000 0.0000 0.5000 x1  8 Au 3.20
Ga: 0.5000 0.5000 0.3430 x2  1 Ga 2.45, 5 Au 2.58-2.68
Au: 0.0000 0.5000 0.2364 x4  2 Ga 2.58
Au: 0.5000 0.5000 0.0000 x1  2 Ga 2.68


Compound: Ca3CdGa2Au9
Source: the Alexandria database
Functional: PBE
Structure: optimized geometry

Its calculated total energy is -47.80 eV per cell. The value obtained for the calculated formation energy is -0.355 eV/atom.

Unit cell a=6.6052 b=6.6052 c=10.3732 alpha=90.00 beta=90.00 gamma=120.00
Closest atoms and distances in Å follow each position.
Space group P-3m1 (No. 164)
Symmetry-distinct sites (fractional):
Ca: 0.0000 0.0000 0.0000 x1  12 Au 3.28-3.30
Ca: 0.3333 0.6667 0.7555 x2  9 Au 3.17-3.33
Cd: 0.0000 0.0000 0.5000 x1  6 Au 2.83
Ga: 0.3333 0.6667 0.1694 x2  6 Au 2.46-2.59
Au: 0.0000 0.5000 0.0000 x3  2 Ga 2.59
Au: 0.1408 0.2816 0.2756 x6  1 Ga 2.46


Compound: Ca3Cd2GaAu8
Source: the Alexandria database
Functional: PBE
Structure: optimized geometry

Its calculated total energy is -43.23 eV per cell. The value obtained for the calculated formation energy is -0.439 eV/atom.

Unit cell a=5.6601 b=5.6601 c=10.9458 alpha=90.00 beta=90.00 gamma=120.00
Closest atoms and distances in Å follow each position.
Space group P-3m1 (No. 164)
Symmetry-distinct sites (fractional):
Ca: 0.0000 0.0000 0.0000 x1  6 Cd 3.41, 12 Au 3.68-3.71
Ca: 0.3333 0.6667 0.5681 x2  10 Au 3.03-3.31, 3 Ga 3.35
Cd: 0.3333 0.6667 0.0902 x2  4 Au 2.69-2.86
Ga: 0.0000 0.0000 0.5000 x1  6 Au 2.69
Au: 0.1670 0.3341 0.3045 x6  1 Ga 2.69, 4 Au 2.82-2.84, 1 Cd 2.86
Au: 0.3333 0.6667 0.8449 x2  1 Cd 2.69


Compound: CaCdGaAu3
Source: the Alexandria database
Functional: PBE
Structure: optimized geometry

Its calculated total energy is -69.49 eV per cell. The value obtained for the calculated formation energy is -0.266 eV/atom.

Unit cell a=8.0741 b=12.0809 c=5.8227 alpha=90.00 beta=90.00 gamma=90.00
Closest atoms and distances in Å follow each position.
Space group Cmcm (No. 63)
Symmetry-distinct sites (fractional):
Ca: 0.0000 0.1798 0.2500 x4  1 Ga 2.97, 2 Cd 3.04, 4 Au 3.30
Cd: 0.0000 0.1086 0.7500 x4  5 Au 2.74-2.81, 2 Ca 3.04
Ga: 0.0000 0.4260 0.2500 x4  5 Au 2.64-2.88
Au: 0.0000 0.3353 0.7500 x4  1 Cd 2.74, 1 Ga 2.88
Au: 0.2499 0.0000 0.0000 x8  2 Ga 2.64, 2 Cd 2.81, 2 Au 2.91


Compound: Ca2CdGa3Au4
Source: the Alexandria database
Functional: PBE
Structure: optimized geometry

Its calculated total energy is -32.42 eV per cell. The value obtained for the calculated formation energy is -0.531 eV/atom.

Unit cell a=4.3112 b=4.3112 c=11.6555 alpha=90.00 beta=90.00 gamma=90.00
Closest atoms and distances in Å follow each position.
Space group P-4m2 (No. 115)
Symmetry-distinct sites (fractional):
Ca: 0.0000 0.5000 0.2388 x2  8 Au 3.29-3.52, 4 Ga 3.30
Cd: 0.0000 0.0000 0.5000 x1  4 Au 2.81, 4 Ga 3.05
Ga: 0.0000 0.5000 0.8702 x2  5 Au 2.52-2.63
Ga: 0.5000 0.5000 0.5000 x1  4 Au 2.81, 4 Cd 3.05
Au: 0.0000 0.0000 0.0000 x1  4 Ga 2.63
Au: 0.0000 0.5000 0.6542 x2  3 Ga 2.52-2.81, 2 Cd 2.81
Au: 0.5000 0.5000 0.0000 x1  4 Ga 2.63


- calculated formation energy of number 6 (Ca3Cd2GaAu8)?
  -0.439 eV/atom